<i>
Below is a PBEsol-optimized structure of WSe, with properties calculated at the SCAN level.

```
WSe
1.0
5.544 -1.556 0.000
5.544 1.556 0.000
-2.560 0.000 6.163
W Se
3 3
Cartesian
0.000 0.000 0.000 W
1.597 0.000 4.506 W
4.629 0.000 4.496 W
2.517 0.000 0.202 Se
5.570 0.000 2.018 Se
8.498 0.000 3.061 Se
```

N(E_F) = 2.6 states/eV/cell

<ii>
Below is a PBEsol-optimized structure of WSe, with properties calculated at the SCAN level.

```
WSe
1.0
1.510 0.872 3.984
-1.510 0.872 3.984
0.000 -1.744 3.984
W Se
1 1
Cartesian
0.000 0.000 0.000 W
0.000 0.000 5.977 Se
```

N(E_F) = 1.1 states/eV/cell

<iii>
Below is a PBEsol-optimized structure of WSe, with properties calculated at the SCAN level.

```
WSe
1.0
3.080 0.000 0.000
-1.540 2.668 0.000
0.000 0.000 3.873
W Se
1 1
Cartesian
0.000 0.000 0.000 W
0.000 1.778 1.936 Se
```

N(E_F) = 1.3 states/eV/cell

The computed energies, referenced to the most stable structure and given in eV/atom, are <i> 0.000; <ii> 0.433; <iii> 0.526.

<i>
Below is a PBEsol-optimized structure of W3Se, with properties calculated at the SCAN level.

```
W3Se
1.0
4.371 2.524 0.957
-4.371 2.524 0.957
0.000 -5.047 0.957
W Se
3 1
Cartesian
-2.186 -1.262 0.957 W
-2.186 1.262 1.914 W
0.000 2.524 0.957 W
0.000 0.000 0.000 Se
```

N(E_F) = 3.2 states/eV/cell

<ii>
Below is a PBEsol-optimized structure of W3Se, with properties calculated at the SCAN level.

```
W3Se
1.0
3.043 0.000 0.000
-1.521 2.635 0.000
0.000 0.000 7.942
W Se
3 1
Cartesian
0.000 0.000 0.000 W
0.000 1.757 2.112 W
0.000 1.757 5.830 W
0.000 0.000 3.971 Se
```

N(E_F) = 2.5 states/eV/cell

The computed energies, referenced to the most stable structure and given in eV/atom, are <i> 0.258; <ii> 0.000.

<i>
Below is a PBEsol-optimized structure of Y2ZnSe, with properties calculated at the SCAN level.

```
Y2ZnSe
1.0
1.953 1.128 7.143
-1.953 1.128 7.143
0.000 -2.255 7.143
Y Zn Se
2 1 1
Cartesian
0.000 0.000 5.290 Y
0.000 0.000 16.139 Y
0.000 0.000 0.000 Zn
0.000 0.000 10.715 Se
```

N(E_F) = 2.0 states/eV/cell

<ii>
Below is a PBEsol-optimized structure of Y2ZnSe, with properties calculated at the SCAN level.

```
Y2ZnSe
1.0
-1.786 1.867 7.292
1.786 -1.867 7.292
1.786 1.867 -7.292
Y Zn Se
2 1 1
Cartesian
0.000 0.000 0.000 Y
0.000 1.867 3.606 Y
0.000 0.000 5.938 Zn
1.786 0.000 2.305 Se
```

N(E_F) = 2.9 states/eV/cell

<iii>
Below is a PBEsol-optimized structure of Y2ZnSe, with properties calculated at the SCAN level.

```
Y2ZnSe
1.0
4.049 0.000 0.000
0.000 4.049 0.000
0.000 0.000 5.760
Y Zn Se
2 1 1
Cartesian
0.000 0.000 0.000 Y
2.024 2.024 2.880 Y
0.000 0.000 2.880 Zn
2.024 2.024 0.000 Se
```

N(E_F) = 2.3 states/eV/cell

The computed energies, referenced to the most stable structure and given in eV/atom, are <i> 0.000; <ii> 0.239; <iii> 0.033.

<i>
Below is a PBEsol-optimized structure of Si, with properties calculated at the SCAN level.

```
Si
1.0
10.168 0.000 0.000
0.000 10.168 0.000
0.000 0.000 10.168
Si
46
Cartesian
0.000 1.190 3.133 Si
0.000 1.190 7.035 Si
0.000 2.542 5.084 Si
0.000 7.626 5.084 Si
0.000 8.978 3.133 Si
0.000 8.978 7.035 Si
1.190 3.133 0.000 Si
1.190 7.035 0.000 Si
1.867 1.867 1.867 Si
1.867 1.867 8.302 Si
1.867 8.302 1.867 Si
1.867 8.302 8.302 Si
1.951 3.894 5.084 Si
1.951 6.274 5.084 Si
2.542 5.084 0.000 Si
3.133 0.000 1.190 Si
3.133 0.000 8.978 Si
3.218 3.218 3.218 Si
3.218 3.218 6.951 Si
3.218 6.951 3.218 Si
3.218 6.951 6.951 Si
3.894 5.084 1.951 Si
3.894 5.084 8.217 Si
5.084 0.000 2.542 Si
5.084 0.000 7.626 Si
5.084 1.951 3.894 Si
5.084 1.951 6.274 Si
5.084 8.217 3.894 Si
5.084 8.217 6.274 Si
6.274 5.084 1.951 Si
6.274 5.084 8.217 Si
6.951 3.218 3.218 Si
6.951 3.218 6.951 Si
6.951 6.951 3.218 Si
6.951 6.951 6.951 Si
7.035 0.000 1.190 Si
7.035 0.000 8.978 Si
7.626 5.084 0.000 Si
8.217 3.894 5.084 Si
8.217 6.274 5.084 Si
8.302 1.867 1.867 Si
8.302 1.867 8.302 Si
8.302 8.302 1.867 Si
8.302 8.302 8.302 Si
8.978 3.133 0.000 Si
8.978 7.035 0.000 Si
```

<ii>
Below is a PBEsol-optimized structure of Si, with properties calculated at the SCAN level.

```
Si
1.0
2.621 0.000 0.000
-1.310 2.269 0.000
0.000 0.000 2.484
Si
1
Cartesian
0.000 0.000 0.000 Si
```

N(E_F) = 0.4 states/eV/cell

The computed energies, referenced to the most stable structure and given in eV/atom, are <i> 0.000; <ii> 0.365.

<i>
Below is a PBEsol-optimized structure of Si, with properties calculated at the SCAN level.

```
Si
1.0
5.168 0.000 0.000
-2.584 4.476 0.000
0.000 0.000 4.129
Si
6
Cartesian
0.000 1.512 1.032 Si
-1.275 3.720 1.032 Si
1.310 0.756 3.097 Si
1.275 3.720 1.032 Si
3.859 0.756 3.097 Si
2.584 2.964 3.097 Si
```

N(E_F) = 1.7 states/eV/cell

<ii>
Below is a PBEsol-optimized structure of Si, with properties calculated at the SCAN level.

```
Si
1.0
10.150 0.000 0.000
-5.075 8.790 0.000
0.000 0.000 10.330
Si
40
Cartesian
-1.226 2.124 0.000 Si
-1.932 3.346 1.922 Si
-1.932 3.346 8.409 Si
-3.143 5.444 1.922 Si
-3.143 5.444 8.409 Si
-3.849 6.667 0.000 Si
0.000 2.333 5.165 Si
-3.055 7.624 5.165 Si
0.000 3.678 3.222 Si
0.000 3.678 7.108 Si
-1.890 6.951 3.222 Si
-1.890 6.951 7.108 Si
2.452 0.000 0.000 Si
1.226 2.124 0.000 Si
2.020 1.166 5.165 Si
0.000 5.860 4.005 Si
0.000 5.860 6.325 Si
3.864 0.000 1.922 Si
3.864 0.000 8.409 Si
1.932 3.346 1.922 Si
1.932 3.346 8.409 Si
3.186 1.839 3.222 Si
3.186 1.839 7.108 Si
1.890 6.951 3.222 Si
1.890 6.951 7.108 Si
6.286 0.000 1.922 Si
6.286 0.000 8.409 Si
3.143 5.444 1.922 Si
3.143 5.444 8.409 Si
5.075 2.930 4.005 Si
5.075 2.930 6.325 Si
3.055 7.624 5.165 Si
7.698 0.000 0.000 Si
3.849 6.667 0.000 Si
6.965 1.839 3.222 Si
6.965 1.839 7.108 Si
5.075 5.112 3.222 Si
5.075 5.112 7.108 Si
8.130 1.166 5.165 Si
5.075 6.458 5.165 Si
```

The computed energies, referenced to the most stable structure and given in eV/atom, are <i> 0.478; <ii> 0.000.

<i>
Below is a PBEsol-optimized structure of Si, with properties calculated at the SCAN level.

```
Si
1.0
10.361 0.000 0.000
-5.181 8.973 0.000
0.000 0.000 16.926
Si
68
Cartesian
0.000 0.000 3.073 Si
0.000 0.000 5.390 Si
0.000 0.000 11.536 Si
0.000 0.000 13.853 Si
-1.193 2.969 1.092 Si
-1.193 2.969 7.371 Si
-3.206 6.456 1.092 Si
-3.206 6.456 7.371 Si
-2.049 4.799 12.694 Si
-1.935 4.865 2.290 Si
-1.935 4.865 6.173 Si
0.000 2.220 10.809 Si
0.000 2.220 14.580 Si
-3.258 7.863 10.809 Si
-3.258 7.863 14.580 Si
0.000 3.635 12.694 Si
-2.033 7.156 12.694 Si
1.922 1.110 2.346 Si
1.922 1.110 6.117 Si
1.193 2.969 1.092 Si
1.193 2.969 7.371 Si
-2.013 8.522 1.092 Si
-2.013 8.522 7.371 Si
3.167 0.451 9.555 Si
3.167 0.451 15.833 Si
1.975 2.517 9.555 Si
1.975 2.517 15.833 Si
0.000 5.982 3.051 Si
0.000 5.982 5.412 Si
3.148 1.817 4.231 Si
1.935 4.865 2.290 Si
1.935 4.865 6.173 Si
0.000 8.217 2.290 Si
0.000 8.217 6.173 Si
2.049 4.799 12.694 Si
0.000 8.348 12.694 Si
5.181 0.625 4.231 Si
3.132 4.174 4.231 Si
5.181 0.756 10.753 Si
5.181 0.756 14.636 Si
3.245 4.108 10.753 Si
3.245 4.108 14.636 Si
2.033 7.156 12.694 Si
5.181 2.991 11.514 Si
5.181 2.991 13.874 Si
3.206 6.456 1.092 Si
3.206 6.456 7.371 Si
2.013 8.522 1.092 Si
2.013 8.522 7.371 Si
7.194 0.451 9.555 Si
7.194 0.451 15.833 Si
3.988 6.005 9.555 Si
3.988 6.005 15.833 Si
3.258 7.863 10.809 Si
3.258 7.863 14.580 Si
7.213 1.817 4.231 Si
5.181 5.338 4.231 Si
8.439 1.110 2.346 Si
8.439 1.110 6.117 Si
5.181 6.753 2.346 Si
5.181 6.753 6.117 Si
7.116 4.108 10.753 Si
7.116 4.108 14.636 Si
7.230 4.174 4.231 Si
8.387 2.517 9.555 Si
8.387 2.517 15.833 Si
6.373 6.005 9.555 Si
6.373 6.005 15.833 Si
```

<ii>
Below is a PBEsol-optimized structure of Si, with properties calculated at the SCAN level.

```
Si
1.0
0.000 2.717 2.717
2.717 0.000 2.717
2.717 2.717 0.000
Si
2
Cartesian
0.679 0.679 0.679 Si
4.755 4.755 4.755 Si
```

The computed energies, referenced to the most stable structure and given in eV/atom, are <i> 0.089; <ii> 0.000.

<i>
Below is a PBEsol-optimized structure of Si, with properties calculated at the SCAN level.

```
Si
1.0
6.901 -1.920 0.000
6.901 1.920 0.000
-0.745 0.000 6.284
Si
8
Cartesian
0.485 0.000 2.346 Si
2.518 0.000 3.500 Si
3.087 0.000 5.745 Si
5.456 0.000 5.320 Si
7.601 0.000 0.963 Si
9.970 0.000 0.538 Si
10.539 0.000 2.783 Si
12.572 0.000 3.938 Si
```

<ii>
Below is a PBEsol-optimized structure of Si, with properties calculated at the SCAN level.

```
Si
1.0
8.364 -6.390 0.000
8.364 6.390 0.000
0.000 0.000 9.966
Si
46
Cartesian
2.946 1.592 6.249 Si
2.946 1.592 8.700 Si
8.364 5.392 6.290 Si
8.364 5.392 8.659 Si
1.695 0.000 0.000 Si
1.695 0.000 4.983 Si
6.370 2.719 0.590 Si
6.370 2.719 4.393 Si
5.144 1.045 5.569 Si
5.144 1.045 9.379 Si
8.364 3.178 5.578 Si
8.364 3.178 9.370 Si
2.946 -1.592 1.266 Si
2.946 -1.592 3.717 Si
7.181 1.634 2.491 Si
6.424 0.576 7.474 Si
8.364 1.848 7.474 Si
5.144 -1.045 0.586 Si
5.144 -1.045 4.397 Si
10.358 2.719 0.590 Si
10.358 2.719 4.393 Si
6.424 -0.576 2.491 Si
9.547 1.634 2.491 Si
7.181 -1.634 7.474 Si
10.304 0.576 7.474 Si
6.370 -2.719 5.573 Si
6.370 -2.719 9.376 Si
11.584 1.045 5.569 Si
11.584 1.045 9.379 Si
8.364 -1.848 2.491 Si
10.304 -0.576 2.491 Si
9.547 -1.634 7.474 Si
13.782 1.592 6.249 Si
13.782 1.592 8.700 Si
8.364 -3.178 0.595 Si
8.364 -3.178 4.388 Si
11.584 -1.045 0.586 Si
11.584 -1.045 4.397 Si
10.358 -2.719 5.573 Si
10.358 -2.719 9.376 Si
15.032 0.000 0.000 Si
15.032 0.000 4.983 Si
8.364 -5.392 1.307 Si
8.364 -5.392 3.676 Si
13.782 -1.592 1.266 Si
13.782 -1.592 3.717 Si
```

The computed energies, referenced to the most stable structure and given in eV/atom, are <i> 0.000; <ii> 0.050.

<i>
Below is a PBEsol-optimized structure of SrSi2Tc, with properties calculated at the SCAN level.

```
SrSi2Tc
1.0
-2.048 2.048 4.272
2.048 -2.048 4.272
2.048 2.048 -4.272
Sr Si Tc
1 2 1
Cartesian
0.000 0.000 0.000 Sr
2.048 0.000 2.136 Si
0.000 0.000 4.272 Si
0.000 2.048 2.136 Tc
```

N(E_F) = 2.7 states/eV/cell

<ii>
Below is a PBEsol-optimized structure of SrSi2Tc, with properties calculated at the SCAN level.

```
SrSi2Tc
1.0
-1.573 1.909 6.621
1.573 -1.909 6.621
1.573 1.909 -6.621
Sr Si Tc
1 2 1
Cartesian
0.000 0.000 0.000 Sr
0.000 0.000 4.729 Si
0.000 1.909 2.889 Si
1.573 0.000 2.881 Tc
```

N(E_F) = 1.7 states/eV/cell

The computed energies, referenced to the most stable structure and given in eV/atom, are <i> 0.777; <ii> 0.000.